No. 1
This record from Alexandria describes a geometry-optimized InCl structure. The functional is GGA-PBEsol.

Unit cell a=6.1777 b=6.1777 c=7.9851 alpha=118.94 beta=118.94 gamma=38.62
Positions (direct):
In (0.0000, 0.0000, 0.0000)
In (0.0944, 0.0944, 0.6361)
In (0.3077, 0.3077, 0.3068)
Cl (0.3562, 0.3562, 0.7264)
Cl (0.5932, 0.5932, 0.3601)
Cl (0.7621, 0.7621, 0.9998)

Calculated values
formation energy without anion corrections: -0.732 eV/atom
raw total energy: -19.4 eV per cell

***

No. 2
This record from Alexandria describes a geometry-optimized InCl structure. The functional is GGA-PBEsol.

Unit cell a=6.3774 b=6.3774 c=5.1123 alpha=113.54 beta=113.54 gamma=32.98
Positions (direct):
In (0.1198, 0.1198, 0.3692)
In (0.8802, 0.8802, 0.6308)
Cl (0.3998, 0.3998, 0.1500)
Cl (0.6002, 0.6002, 0.8500)

Calculated values
formation energy without anion corrections: -0.691 eV/atom
raw total energy: -12.7 eV per cell